This record from Alexandria via LeMat-Bulk describes an optimized crystal structure of Li2In2S3. The functional is PBE.

Geometry as POSCAR:
```
Li2In2S3
1.0
-4.785 3.248 -4.048
-4.574 -5.769 0.779
-4.741 4.142 2.834
In S Li
4 6 4
Cartesian
-2.485 -1.171 0.040
-11.615 2.792 -0.474
-9.965 0.231 1.676
-4.135 1.390 -2.111
-6.083 0.954 1.520
-7.261 -3.020 0.348
-4.680 -1.260 -1.634
0.000 0.000 0.000
-8.018 0.667 -1.954
-6.839 4.642 -0.783
-7.429 2.295 -0.232
-10.209 -0.494 -2.031
-3.892 2.115 1.597
-6.671 -0.674 -0.202
```

Output
Crystal system: monoclinic
Space-group type: P2_1/c, No. 14
ΔE_f (raw): -721 meV/atom

---

This record from Alexandria via LeMat-Bulk describes an optimized crystal structure of Pr2AlGa4Pd3. The functional is PBE.

Geometry as POSCAR:
```
Pr2AlGa4Pd3
1.0
4.288 0.000 0.000
0.000 4.288 0.000
0.000 0.000 10.736
Ga Pd Pr Al
4 3 2 1
Cartesian
0.000 0.000 0.000
0.000 2.144 3.868
2.144 2.144 0.000
2.144 0.000 6.868
0.000 0.000 5.368
2.144 0.000 9.361
0.000 2.144 1.375
2.144 0.000 2.642
0.000 2.144 8.094
2.144 2.144 5.368
```

Output
Crystal system: tetragonal
Space-group type: P-4m2, No. 115
E_form: -17.4 kcal/mol of atoms

---

For reference, DOS at the Fermi energy by record: 4.22; 5.71 states/eV per cell.